# Cr2FeRu PBE optimized geometry
# - N(E_F): 4.91 states/eV/cell
# - Energy of formation from the pure elements: 0.197 eV per atom
# - Crystal system: tetragonal
# - Energy: -9.049 eV per atom
# - Magnetic moment: 0.250 μB/atom
# - Relative energy among the computed polymorphs: 82 meV/atom
data_Cr2FeRu
_chemical_formula_sum 'Cr2 Fe1 Ru1'
_space_group_name_H-M_alt 'P 4 m m'
_space_group_IT_number 99
_space_group_name_Hall 'P 4 -2'
_cell_length_a 2.583
_cell_length_b 2.583
_cell_length_c 7.295
_cell_angle_alpha 90.00
_cell_angle_beta 90.00
_cell_angle_gamma 90.00
loop_
_atom_site_label
_atom_site_fract_x
_atom_site_fract_y
_atom_site_fract_z
Cr1 0.000 0.000 0.000
Cr2 0.500 0.500 0.252
Fe1 0.000 0.000 0.487
Ru1 0.500 0.500 0.744

---

# Cr2FeRu PBE optimized geometry
# - N(E_F): 5.45 states/eV/cell
# - Energy of formation from the pure elements: 0.177 eV per atom
# - Crystal system: orthorhombic
# - Energy: -9.070 eV per atom
# - Magnetic moment: 0.286 μB/atom
# - Relative energy among the computed polymorphs: 62 meV/atom
data_Cr2FeRu
_chemical_formula_sum 'Cr2 Fe1 Ru1'
_space_group_name_H-M_alt 'P m m 2'
_space_group_IT_number 25
_space_group_name_Hall 'P 2 -2'
_cell_length_a 2.624
_cell_length_b 3.570
_cell_length_c 5.206
_cell_angle_alpha 90.00
_cell_angle_beta 90.00
_cell_angle_gamma 90.00
loop_
_atom_site_label
_atom_site_fract_x
_atom_site_fract_y
_atom_site_fract_z
Cr1 0.000 0.000 0.000
Cr2 0.500 0.500 0.260
Fe1 0.000 0.000 0.486
Ru1 0.500 0.500 0.758

---

# Cr2FeRu PBE optimized geometry
# - N(E_F): 3.60 states/eV/cell
# - Energy of formation from the pure elements: 0.189 eV per atom
# - Crystal system: tetragonal
# - Energy: -9.057 eV per atom
# - Magnetic moment: 0.890 μB/atom
# - Relative energy among the computed polymorphs: 74 meV/atom
data_Cr2FeRu
_chemical_formula_sum 'Cr2 Fe1 Ru1'
_space_group_name_H-M_alt 'P 4/m m m'
_space_group_IT_number 123
_space_group_name_Hall '-P 4 2'
_cell_length_a 4.050
_cell_length_b 4.050
_cell_length_c 3.001
_cell_angle_alpha 90.00
_cell_angle_beta 90.00
_cell_angle_gamma 90.00
loop_
_atom_site_label
_atom_site_fract_x
_atom_site_fract_y
_atom_site_fract_z
Cr1 0.000 0.500 0.000
Fe1 0.000 0.000 0.500
Ru1 0.500 0.500 0.500